1.
Here is YMo3 after structural relaxation from the Alexandria database. Energies are from PBE-GGA.

Computed properties:
Final energy ... -9.374 eV per atom
DOS at the Fermi energy ... 1.261 states/eV per atom
E above lowest polymorph ... 0.110 eV per atom
Spin magnetization ... 0.0 μB per cell
Symmetry ... No. 63
Energy of formation from the pure elements ... 0.365 eV per atom

```
YMo3
1.0
3.457 -4.747 0.000
3.457 4.747 0.000
0.000 0.000 4.498
Y Mo
2 6
direct
0.622 0.378 0.250 Y
0.378 0.622 0.750 Y
0.340 0.094 0.750 Mo
0.880 0.120 0.750 Mo
0.094 0.340 0.250 Mo
0.906 0.660 0.750 Mo
0.120 0.880 0.250 Mo
0.660 0.906 0.250 Mo
```

2.
Here is AcSnAuO after structural relaxation from the Alexandria database. Energies are from PBE-GGA.

Computed properties:
Final energy ... -5.713 eV per atom
DOS at the Fermi energy ... 0.293 states/eV per atom
Formation energy from raw total energies ... -6.5 eV per formula unit
Spin magnetization ... 0.0 μB per cell
Symmetry ... No. 129

```
AcSnAuO
1.0
4.496 0.000 0.000
0.000 4.496 0.000
0.000 0.000 9.343
Ac Sn Au O
2 2 2 2
direct
0.000 0.500 0.878 Ac
0.500 0.000 0.122 Ac
0.000 0.000 0.500 Sn
0.500 0.500 0.500 Sn
0.500 0.000 0.691 Au
0.000 0.500 0.309 Au
0.500 0.500 0.000 O
0.000 0.000 0.000 O
```

3.
Here is PrCu2Cl8 after structural relaxation from the Alexandria database. Energies are from PBE-GGA.

Computed properties:
Final energy ... -3.544 eV per atom
DOS at the Fermi energy ... 0.457 states/eV per atom
Formation energy from raw total energies ... -11.2 eV per formula unit
Spin magnetization ... 0.4 μB per cell
Symmetry ... No. 97

```
PrCu2Cl8
1.0
-0.991 -2.697 6.161
-0.911 -6.116 -2.824
6.829 3.315 -1.201
Pr Cu Cl
1 2 8
direct
0.500 0.500 0.000 Pr
0.750 0.250 0.500 Cu
0.250 0.750 0.500 Cu
0.787 0.291 0.240 Cl
0.050 0.546 0.760 Cl
0.709 0.213 0.760 Cl
0.213 0.050 0.760 Cl
0.454 0.950 0.240 Cl
0.950 0.787 0.240 Cl
0.291 0.454 0.240 Cl
0.546 0.709 0.760 Cl
```

4.
Here is Sm2CdGa after structural relaxation from the Alexandria database. Energies are from PBE-GGA.

Computed properties:
Final energy ... -3.620 eV per atom
DOS at the Fermi energy ... 0.828 states/eV per atom
Spin magnetization ... 0.0 μB per cell
Symmetry ... No. 166
Energy of formation from the pure elements ... -0.275 eV per atom

```
Sm2CdGa
1.0
3.739 0.000 0.000
1.869 3.238 0.000
1.869 1.079 9.379
Ga Sm Cd
1 2 1
direct
0.000 0.000 0.000 Ga
0.257 0.257 0.230 Sm
0.743 0.743 0.770 Sm
0.500 0.500 0.500 Cd
```

5.
Here is Be2SnAs3 after structural relaxation from the Alexandria database. Energies are from PBE-GGA.

Computed properties:
Final energy ... -4.329 eV per atom
DOS at the Fermi energy ... 0.272 states/eV per atom
Spin magnetization ... 0.0 μB per cell
Symmetry ... No. 9
Energy of formation from the pure elements ... -0.095 eV per atom

```
Be2SnAs3
1.0
-4.750 4.508 -1.578
4.594 -1.789 -4.590
-3.733 -5.581 0.086
Be Sn As
4 2 6
direct
0.601 0.437 0.009 Be
0.751 0.264 0.511 Be
0.437 0.601 0.509 Be
0.264 0.751 0.011 Be
0.097 0.917 0.500 Sn
0.917 0.097 0.000 Sn
0.061 0.270 0.416 As
0.270 0.061 0.916 As
0.882 0.427 0.868 As
0.427 0.882 0.368 As
0.513 0.676 0.868 As
0.676 0.513 0.368 As
```

6.
Here is Rb4Er3UTe8 after structural relaxation from the Alexandria database. Energies are from PBE-GGA.

Computed properties:
Final energy ... -4.599 eV per atom
DOS at the Fermi energy ... 0.625 states/eV per atom
Formation energy from raw total energies ... -19.6 eV per formula unit
Spin magnetization ... 3.0 μB per cell
Symmetry ... No. 166

```
Rb4Er3UTe8
1.0
9.048 0.000 0.000
0.000 10.006 0.671
-4.524 -4.522 6.400
Rb Er U Te
4 3 1 8
direct
0.500 0.000 0.000 Rb
0.500 0.000 0.500 Rb
0.000 0.000 0.000 Rb
0.000 0.000 0.500 Rb
0.500 0.500 0.000 Er
0.500 0.500 0.500 Er
0.000 0.500 0.500 Er
0.000 0.500 0.000 U
0.236 0.700 0.964 Te
0.236 0.700 0.473 Te
0.268 0.303 0.535 Te
0.727 0.700 0.964 Te
0.273 0.300 0.036 Te
0.732 0.697 0.465 Te
0.764 0.300 0.527 Te
0.764 0.300 0.036 Te
```

7.
Here is MgRhBr after structural relaxation from the Alexandria database. Energies are from PBE-GGA.

Computed properties:
Final energy ... -3.732 eV per atom
DOS at the Fermi energy ... 0.651 states/eV per atom
Formation energy from raw total energies ... -0.6 eV per formula unit
E above lowest polymorph ... 0.355 eV per atom
Spin magnetization ... 0.0 μB per cell
Symmetry ... No. 62

```
MgRhBr
1.0
5.003 0.000 0.000
0.000 9.773 0.000
0.000 0.000 5.373
Mg Rh Br
4 4 4
direct
0.499 0.250 0.916 Mg
0.001 0.750 0.416 Mg
0.501 0.750 0.084 Mg
0.999 0.250 0.584 Mg
0.999 0.250 0.082 Rh
0.501 0.750 0.582 Rh
0.001 0.750 0.918 Rh
0.499 0.250 0.418 Rh
0.000 0.000 0.000 Br
0.500 0.500 0.500 Br
0.500 0.000 0.500 Br
0.000 0.500 0.000 Br
```

8.
Here is TlAsSe2Br after structural relaxation from the Alexandria database. Energies are from PBE-GGA.

Computed properties:
Final energy ... -2.279 eV per atom
DOS at the Fermi energy ... 1.508 states/eV per atom
Formation energy from raw total energies ... 4.3 eV per formula unit
E above lowest polymorph ... 0.919 eV per atom
Spin magnetization ... 0.0 μB per cell
Symmetry ... No. 123

```
TlAsSe2Br
1.0
-4.408 0.423 -2.946
-0.553 -5.290 0.067
-3.102 0.384 4.696
As Tl Se Br
1 1 2 1
direct
0.000 0.000 0.500 As
0.000 0.000 0.000 Tl
0.000 0.500 0.000 Se
0.500 0.000 0.000 Se
0.500 0.500 0.500 Br
```